No. 1
The following is a meta-GGA SCAN calculation of KTc2Hg at its PBEsol-relaxed geometry, from Alexandria.

The value obtained for the raw total energy is -144.440 eV per formula unit. The value obtained for the theoretical density is 8.194 g/cm3. As for the density of states at the Fermi level: 0.75 states/eV per atom. The value obtained for the total moment is 0.00 μB/cell. As for the formation energy from the elements: 0.5436 eV per atom.

Cell and atoms, written as extended XYZ:
```
4
Lattice="3.324 -1.438 0.000 3.324 1.438 0.000 -0.599 0.000 9.236" Properties=species:S:1:pos:R:3 pbc="T T T"
K 0.000 0.000 0.000
Tc 1.034 0.000 6.368
Tc 2.755 0.000 5.041
Hg 4.896 0.000 2.826
```

No. 2
The following is a meta-GGA SCAN calculation of LiZnP2 at its PBEsol-relaxed geometry, from Alexandria.

The value obtained for the raw total energy is -36.670 eV per formula unit. The value obtained for the theoretical density is 3.763 g/cm3. As for the density of states at the Fermi level: 0.20 states/eV per atom. The value obtained for the total moment is 0.00 μB/cell. As for the formation energy from the elements: 0.0081 eV per atom.

Cell and atoms, written as extended XYZ:
```
4
Lattice="1.514 0.874 7.461 -1.514 0.874 7.461 0.000 -1.749 7.461" Properties=species:S:1:pos:R:3 pbc="T T T"
Li 0.000 0.000 0.000
Zn 0.000 0.000 11.191
P 0.000 0.000 5.521
P 0.000 0.000 16.861
```

No. 3
The following is a meta-GGA SCAN calculation of Ho2TlCd at its PBEsol-relaxed geometry, from Alexandria.

The value obtained for the raw total energy is -202.704 eV per formula unit. The value obtained for the theoretical density is 10.788 g/cm3. As for the density of states at the Fermi level: 0.81 states/eV per atom. The value obtained for the total moment is 0.16 μB/cell. As for the formation energy from the elements: -0.4888 eV per atom.

Cell and atoms, written as extended XYZ:
```
4
Lattice="0.000 3.678 3.678 3.678 0.000 3.678 3.678 3.678 0.000" Properties=species:S:1:pos:R:3 pbc="T T T"
Ho 1.839 1.839 1.839
Ho 5.517 5.517 5.517
Tl 0.000 0.000 0.000
Cd 3.678 3.678 3.678
```